[1]
In2WO6 | SCAN | PBEsol geometry

* crystal system: monoclinic
* theoretical density: 7.8 g/cm³
* ΔE_f (raw): -1.977 eV per atom

Cell and atoms, written as CIF:
```
data_In2WO6
_cell_length_a 7.376
_cell_length_b 5.118
_cell_length_c 11.663
_cell_angle_alpha 90.00
_cell_angle_beta 97.81
_cell_angle_gamma 90.00
_symmetry_space_group_name_H-M 'P 1 2/c 1'
_symmetry_Int_Tables_number 13
_symmetry_space_group_name_Hall '-P 2yc'
loop_
_atom_site_label
_atom_site_type_symbol
_atom_site_fract_x
_atom_site_fract_y
_atom_site_fract_z
In1 In 0.000 0.209 0.250
In2 In 0.267 0.267 0.896
In3 In 0.500 0.280 0.250
W1 W 0.236 0.228 0.604
O1 O 0.001 0.091 0.617
O2 O 0.162 0.387 0.467
O3 O 0.193 0.486 0.726
O4 O 0.291 0.008 0.264
O5 O 0.344 0.069 0.056
O6 O 0.470 0.410 0.625
```


[2]
InWO2 | SCAN | PBEsol geometry

* crystal system: trigonal
* theoretical density: 10.5 g/cm³
* ΔE_f (raw): -1.199 eV per atom

Cell and atoms, written as CIF:
```
data_InWO2
_cell_length_a 2.8557
_cell_length_b 2.8557
_cell_length_c 22.2273
_cell_angle_alpha 90.00
_cell_angle_beta 90.00
_cell_angle_gamma 120.00
_symmetry_space_group_name_H-M 'R -3 m'
_symmetry_Int_Tables_number 166
_symmetry_space_group_name_Hall '-R 3 2"'
loop_
_atom_site_label
_atom_site_type_symbol
_atom_site_fract_x
_atom_site_fract_y
_atom_site_fract_z
In1 In 0.0000 0.0000 0.0000
W1 W 0.0000 0.0000 0.5000
O1 O 0.0000 0.0000 0.1071
```


[3]
YIn3O | SCAN | PBEsol geometry

* crystal system: cubic
* theoretical density: 6.9 g/cm³
* ΔE_f (raw): -0.503 eV per atom

Cell and atoms, written as CIF:
```
data_YIn3O
_cell_length_a 4.754
_cell_length_b 4.754
_cell_length_c 4.754
_cell_angle_alpha 90.00
_cell_angle_beta 90.00
_cell_angle_gamma 90.00
_symmetry_space_group_name_H-M 'P m -3 m'
_symmetry_Int_Tables_number 221
_symmetry_space_group_name_Hall '-P 4 2 3'
loop_
_atom_site_label
_atom_site_type_symbol
_atom_site_fract_x
_atom_site_fract_y
_atom_site_fract_z
Y1 Y 0.000 0.000 0.000
In1 In 0.000 0.500 0.500
O1 O 0.500 0.500 0.500
```


[4]
InOs3 | SCAN | PBEsol geometry

* crystal system: hexagonal
* offset from the most stable computed form: 0 meV per atom
* theoretical density: 18.7 g/cm³
* formation energy from the elements: 0.334 eV per atom

Cell and atoms, written as CIF:
```
data_InOs3
_cell_length_a 2.8129
_cell_length_b 2.8129
_cell_length_c 8.8672
_cell_angle_alpha 90.00
_cell_angle_beta 90.00
_cell_angle_gamma 120.00
_symmetry_space_group_name_H-M 'P -6 m 2'
_symmetry_Int_Tables_number 187
_symmetry_space_group_name_Hall 'P -6 2'
loop_
_atom_site_label
_atom_site_type_symbol
_atom_site_fract_x
_atom_site_fract_y
_atom_site_fract_z
In1 In 0.0000 0.0000 0.0000
Os1 Os 0.0000 0.0000 0.5000
Os2 Os 0.3333 0.6667 0.2670
```


[5]
InOs3 | SCAN | PBEsol geometry

* crystal system: cubic
* offset from the most stable computed form: 3895 meV per atom
* theoretical density: 9.7 g/cm³
* formation energy from the elements: 4.229 eV per atom

Cell and atoms, written as CIF:
```
data_InOs3
_cell_length_a 4.896
_cell_length_b 4.896
_cell_length_c 4.896
_cell_angle_alpha 90.00
_cell_angle_beta 90.00
_cell_angle_gamma 90.00
_symmetry_space_group_name_H-M 'P m -3 m'
_symmetry_Int_Tables_number 221
_symmetry_space_group_name_Hall '-P 4 2 3'
loop_
_atom_site_label
_atom_site_type_symbol
_atom_site_fract_x
_atom_site_fract_y
_atom_site_fract_z
In1 In 0.000 0.000 0.000
Os1 Os 0.000 0.000 0.500
```


[6]
InOs3 | SCAN | PBEsol geometry

* crystal system: monoclinic
* offset from the most stable computed form: 165 meV per atom
* theoretical density: 18.7 g/cm³
* formation energy from the elements: 0.499 eV per atom

Cell and atoms, written as CIF:
```
data_InOs3
_cell_length_a 9.157
_cell_length_b 2.791
_cell_length_c 4.829
_cell_angle_alpha 90.00
_cell_angle_beta 99.52
_cell_angle_gamma 90.00
_symmetry_space_group_name_H-M 'C 1 2/m 1'
_symmetry_Int_Tables_number 12
_symmetry_space_group_name_Hall '-C 2y'
loop_
_atom_site_label
_atom_site_type_symbol
_atom_site_fract_x
_atom_site_fract_y
_atom_site_fract_z
In1 In 0.000 0.000 0.000
Os1 Os 0.000 0.500 0.500
Os2 Os 0.240 0.000 0.729
```


[7]
InPOs2 | SCAN | PBEsol geometry

* crystal system: orthorhombic
* offset from the most stable computed form: 323 meV per atom
* theoretical density: 14.4 g/cm³
* formation energy from the elements: 0.431 eV per atom

Cell and atoms, written as CIF:
```
data_InPOs2
_cell_length_a 2.868
_cell_length_b 4.919
_cell_length_c 8.592
_cell_angle_alpha 90.00
_cell_angle_beta 90.00
_cell_angle_gamma 90.00
_symmetry_space_group_name_H-M 'I m m m'
_symmetry_Int_Tables_number 71
_symmetry_space_group_name_Hall '-I 2 2'
loop_
_atom_site_label
_atom_site_type_symbol
_atom_site_fract_x
_atom_site_fract_y
_atom_site_fract_z
In1 In 0.000 0.000 0.000
P1 P 0.000 0.000 0.500
Os1 Os 0.000 0.500 0.214
```


[8]
InP2Os | SCAN | PBEsol geometry

* crystal system: tetragonal
* theoretical density: 8.7 g/cm³
* formation energy from the elements: 0.186 eV per atom

Cell and atoms, written as CIF:
```
data_InP2Os
_cell_length_a 2.883
_cell_length_b 2.883
_cell_length_c 8.402
_cell_angle_alpha 90.00
_cell_angle_beta 90.00
_cell_angle_gamma 90.00
_symmetry_space_group_name_H-M 'P 4/m m m'
_symmetry_Int_Tables_number 123
_symmetry_space_group_name_Hall '-P 4 2'
loop_
_atom_site_label
_atom_site_type_symbol
_atom_site_fract_x
_atom_site_fract_y
_atom_site_fract_z
In1 In 0.000 0.000 0.000
P1 P 0.500 0.500 0.323
Os1 Os 0.000 0.000 0.500
```